## AcGa4Cu3 (GGA-PBE)

Data for a geometry-optimized AcGa4Cu3 structure.

Results
N(E_F)   3.0 states/eV/f.u.
ΔH_f (0 K)   -296 meV/atom
Symmetry   P4/mmm
Uncorrected energy   -3.86 eV/atom
M_tot   0.00 μB/f.u.

Geometry as POSCAR:
```
AcGa4Cu3
1.0
4.222 0.000 0.000
0.000 4.222 0.000
0.000 0.000 8.305
Ac Ga Cu
1 4 3
direct
0.000 0.000 0.000 Ac
0.000 0.500 0.330 Ga
0.000 0.500 0.670 Ga
0.500 0.000 0.330 Ga
0.500 0.000 0.670 Ga
0.000 0.000 0.500 Cu
0.500 0.500 0.153 Cu
0.500 0.500 0.847 Cu
```

## AcGa2Cu3 (GGA-PBE)

Data for a geometry-optimized AcGa2Cu3 structure.

Results
N(E_F)   3.2 states/eV/f.u.
Polymorph energy (0 for the lowest one)   0.0 meV per atom
ΔH_f (0 K)   -295 meV/atom
Symmetry   C2/m
Uncorrected energy   -4.04 eV/atom
M_tot   0.00 μB/f.u.

Geometry as POSCAR:
```
AcGa2Cu3
1.0
8.125 -2.106 0.000
8.125 2.106 0.000
-3.056 0.000 6.579
Ac Ga Cu
2 4 6
direct
0.153 0.153 0.076 Ac
0.847 0.847 0.924 Ac
0.181 0.181 0.648 Ga
0.476 0.476 0.804 Ga
0.524 0.524 0.196 Ga
0.819 0.819 0.352 Ga
0.024 0.024 0.364 Cu
0.312 0.312 0.548 Cu
0.415 0.415 0.363 Cu
0.585 0.585 0.637 Cu
0.688 0.688 0.452 Cu
0.976 0.976 0.636 Cu
```

## Ac2GaCu (GGA-PBE)

Data for a geometry-optimized Ac2GaCu structure.

Results
N(E_F)   4.6 states/eV/f.u.
Polymorph energy (0 for the lowest one)   0.0 meV per atom
ΔH_f (0 K)   -288 meV/atom
Symmetry   P2_1/m
Uncorrected energy   -4.12 eV/atom
M_tot   0.00 μB/f.u.

Geometry as POSCAR:
```
Ac2GaCu
1.0
6.569 0.000 0.000
0.000 4.462 0.000
-2.802 0.000 8.068
Ac Ga Cu
4 2 2
direct
0.205 0.250 0.412 Ac
0.219 0.250 0.944 Ac
0.781 0.750 0.056 Ac
0.795 0.750 0.588 Ac
0.358 0.750 0.712 Ga
0.642 0.250 0.288 Ga
0.407 0.750 0.230 Cu
0.593 0.250 0.770 Cu
```

## AcGa2Cu3 (GGA-PBE)

Data for a geometry-optimized AcGa2Cu3 structure.

Results
N(E_F)   3.3 states/eV/f.u.
Polymorph energy (0 for the lowest one)   51.1 meV per atom
ΔH_f (0 K)   -244 meV/atom
Symmetry   P6_3/mcm
Uncorrected energy   -3.99 eV/atom
M_tot   0.00 μB/f.u.

Geometry as POSCAR:
```
AcGa2Cu3
1.0
5.697 0.000 0.000
-2.849 4.934 0.000
0.000 0.000 7.790
Ac Ga Cu
2 4 6
direct
0.000 0.000 0.000 Ac
0.000 0.000 0.500 Ac
0.333 0.667 0.000 Ga
0.333 0.667 0.500 Ga
0.667 0.333 0.000 Ga
0.667 0.333 0.500 Ga
0.000 0.499 0.250 Cu
0.000 0.501 0.750 Cu
0.499 0.000 0.250 Cu
0.499 0.499 0.750 Cu
0.501 0.000 0.750 Cu
0.501 0.501 0.250 Cu
```

## Ac2Ga3Cu5 (GGA-PBE)

Data for a geometry-optimized Ac2Ga3Cu5 structure.

Results
N(E_F)   6.8 states/eV/f.u.
ΔH_f (0 K)   -316 meV/atom
Symmetry   Ibam
Uncorrected energy   -4.09 eV/atom
M_tot   0.00 μB/f.u.

Geometry as POSCAR:
```
Ac2Ga3Cu5
1.0
-4.954 6.087 3.223
4.954 -6.087 3.223
4.954 6.087 -3.223
Ac Ga Cu
4 6 10
direct
0.126 0.240 0.367 Ac
0.374 0.740 0.114 Ac
0.626 0.260 0.886 Ac
0.874 0.760 0.633 Ac
0.130 0.886 0.016 Ga
0.250 0.750 0.500 Ga
0.370 0.386 0.756 Ga
0.630 0.614 0.244 Ga
0.750 0.250 0.500 Ga
0.870 0.114 0.984 Ga
0.013 0.750 0.263 Cu
0.118 0.632 0.751 Cu
0.250 0.250 0.000 Cu
0.382 0.132 0.514 Cu
0.487 0.750 0.737 Cu
0.513 0.250 0.263 Cu
0.618 0.868 0.486 Cu
0.750 0.750 0.000 Cu
0.882 0.368 0.249 Cu
0.987 0.250 0.737 Cu
```

## AcGa12Cu4 (GGA-PBE)

Data for a geometry-optimized AcGa12Cu4 structure.

Results
N(E_F)   5.8 states/eV/f.u.
ΔH_f (0 K)   -59 meV/atom
Symmetry   Im-3
Uncorrected energy   -3.40 eV/atom
M_tot   0.00 μB/f.u.

Geometry as POSCAR:
```
AcGa12Cu4
1.0
-4.357 4.357 4.357
4.357 -4.357 4.357
4.357 4.357 -4.357
Ac Ga Cu
1 12 4
direct
0.000 0.000 0.000 Ac
0.161 0.351 0.512 Ga
0.161 0.649 0.810 Ga
0.190 0.839 0.351 Ga
0.351 0.190 0.839 Ga
0.351 0.512 0.161 Ga
0.488 0.839 0.649 Ga
0.512 0.161 0.351 Ga
0.649 0.488 0.839 Ga
0.649 0.810 0.161 Ga
0.810 0.161 0.649 Ga
0.839 0.351 0.190 Ga
0.839 0.649 0.488 Ga
0.000 0.000 0.500 Cu
0.000 0.500 0.000 Cu
0.500 0.000 0.000 Cu
0.500 0.500 0.500 Cu
```

- What is the formula in the first record?
  AcGa4Cu3

Repeat the fourth record exactly.
## AcGa2Cu3 (GGA-PBE)

Data for a geometry-optimized AcGa2Cu3 structure.

Results
N(E_F)   3.3 states/eV/f.u.
Polymorph energy (0 for the lowest one)   51.1 meV per atom
ΔH_f (0 K)   -244 meV/atom
Symmetry   P6_3/mcm
Uncorrected energy   -3.99 eV/atom
M_tot   0.00 μB/f.u.

Geometry as POSCAR:
```
AcGa2Cu3
1.0
5.697 0.000 0.000
-2.849 4.934 0.000
0.000 0.000 7.790
Ac Ga Cu
2 4 6
direct
0.000 0.000 0.000 Ac
0.000 0.000 0.500 Ac
0.333 0.667 0.000 Ga
0.333 0.667 0.500 Ga
0.667 0.333 0.000 Ga
0.667 0.333 0.500 Ga
0.000 0.499 0.250 Cu
0.000 0.501 0.750 Cu
0.499 0.000 0.250 Cu
0.499 0.499 0.750 Cu
0.501 0.000 0.750 Cu
0.501 0.501 0.250 Cu
```

What did the fifth record say?
## Ac2Ga3Cu5 (GGA-PBE)

Data for a geometry-optimized Ac2Ga3Cu5 structure.

Results
N(E_F)   6.8 states/eV/f.u.
ΔH_f (0 K)   -316 meV/atom
Symmetry   Ibam
Uncorrected energy   -4.09 eV/atom
M_tot   0.00 μB/f.u.

Geometry as POSCAR:
```
Ac2Ga3Cu5
1.0
-4.954 6.087 3.223
4.954 -6.087 3.223
4.954 6.087 -3.223
Ac Ga Cu
4 6 10
direct
0.126 0.240 0.367 Ac
0.374 0.740 0.114 Ac
0.626 0.260 0.886 Ac
0.874 0.760 0.633 Ac
0.130 0.886 0.016 Ga
0.250 0.750 0.500 Ga
0.370 0.386 0.756 Ga
0.630 0.614 0.244 Ga
0.750 0.250 0.500 Ga
0.870 0.114 0.984 Ga
0.013 0.750 0.263 Cu
0.118 0.632 0.751 Cu
0.250 0.250 0.000 Cu
0.382 0.132 0.514 Cu
0.487 0.750 0.737 Cu
0.513 0.250 0.263 Cu
0.618 0.868 0.486 Cu
0.750 0.750 0.000 Cu
0.882 0.368 0.249 Cu
0.987 0.250 0.737 Cu
```